# NiBi2Te2 (PBE-GGA, optimized geometry)
# - total magnetization (μB/atom) = 0.000
# - energy (eV/atom) = -3.916
# - formation energy from raw total energies (eV/atom) = 0.05
# - density of states at the Fermi level (states/eV/atom) = 0.582
# - offset from the most stable computed form (meV/atom) = 0
data_NiBi2Te2
_symmetry_space_group_name_H-M 'P 4/m b m'
_symmetry_Int_Tables_number 127
_symmetry_space_group_name_Hall '-P 4 2ab'
_cell_length_a 6.702
_cell_length_b 6.702
_cell_length_c 6.455
_cell_angle_alpha 90.00
_cell_angle_beta 90.00
_cell_angle_gamma 90.00
loop_
_atom_site_label
_atom_site_fract_x
_atom_site_fract_y
_atom_site_fract_z
Ni1 0.000 0.000 0.000
Bi1 0.197 0.303 0.500
Te1 0.164 0.336 0.000

# SrPrNdDy (PBE-GGA, optimized geometry)
# - total magnetization (μB/atom) = 0.000
# - energy (eV/atom) = -3.750
# - density of states at the Fermi level (states/eV/atom) = 1.705
# - calculated formation energy (eV/f.u.) = 0.8
data_SrPrNdDy
_symmetry_space_group_name_H-M 'F -4 3 m'
_symmetry_Int_Tables_number 216
_symmetry_space_group_name_Hall 'F -4 2 3'
_cell_length_a 8.455
_cell_length_b 8.455
_cell_length_c 8.455
_cell_angle_alpha 90.00
_cell_angle_beta 90.00
_cell_angle_gamma 90.00
loop_
_atom_site_label
_atom_site_fract_x
_atom_site_fract_y
_atom_site_fract_z
Sr1 0.000 0.000 0.000
Pr1 0.250 0.250 0.250
Nd1 0.250 0.250 0.750
Dy1 0.000 0.000 0.500

# Na2MgCd2 (PBE-GGA, optimized geometry)
# - total magnetization (μB/atom) = 0.000
# - energy (eV/atom) = -1.263
# - density of states at the Fermi level (states/eV/atom) = 0.372
# - calculated formation energy (eV/f.u.) = -0.2
# - offset from the most stable computed form (meV/atom) = 0
data_Na2MgCd2
_symmetry_space_group_name_H-M 'C 1 2/m 1'
_symmetry_Int_Tables_number 12
_cell_length_a 8.923
_cell_length_b 5.077
_cell_length_c 6.294
_cell_angle_alpha 90.00
_cell_angle_beta 119.58
_cell_angle_gamma 90.00
loop_
_symmetry_equiv_pos_as_xyz
'x,y,z'
'-x,-y,-z'
'-x,y,-z'
'x,-y,z'
'x+1/2,y+1/2,z'
'-x+1/2,-y+1/2,-z'
'-x+1/2,y+1/2,-z'
'x+1/2,-y+1/2,z'
loop_
_atom_site_label
_atom_site_fract_x
_atom_site_fract_y
_atom_site_fract_z
Na1 0.205 0.000 0.115
Mg1 0.000 0.000 0.500
Cd1 0.102 0.500 0.306

# GaGe2Pd6 (PBE-GGA, optimized geometry)
# - total magnetization (μB/atom) = 0.000
# - energy (eV/atom) = -5.237
# - density of states at the Fermi level (states/eV/atom) = 0.211
# - calculated formation energy (eV/f.u.) = -3.7
data_GaGe2Pd6
_symmetry_space_group_name_H-M 'P 1 21/c 1'
_symmetry_Int_Tables_number 14
_cell_length_a 5.544
_cell_length_b 6.669
_cell_length_c 8.993
_cell_angle_alpha 90.00
_cell_angle_beta 120.29
_cell_angle_gamma 90.00
loop_
_symmetry_equiv_pos_as_xyz
'x,y,z'
'-x,-y,-z'
'-x,y+1/2,-z+1/2'
'x,-y+1/2,z+1/2'
loop_
_atom_site_label
_atom_site_fract_x
_atom_site_fract_y
_atom_site_fract_z
Ga1 0.000 0.000 0.000
Ge1 0.195 0.116 0.756
Pd1 0.121 0.152 0.445
Pd2 0.299 0.715 0.421
Pd3 0.435 0.055 0.273

# SmOsPb2O8 (PBE-GGA, optimized geometry)
# - total magnetization (μB/atom) = 0.000
# - energy (eV/atom) = -6.667
# - formation energy from raw total energies (eV/atom) = -1.41
# - density of states at the Fermi level (states/eV/atom) = 0.340
data_SmOsPb2O8
_symmetry_space_group_name_H-M 'P 1 2/m 1'
_symmetry_Int_Tables_number 10
_cell_length_a 5.163
_cell_length_b 6.825
_cell_length_c 5.171
_cell_angle_alpha 90.00
_cell_angle_beta 90.90
_cell_angle_gamma 90.00
loop_
_symmetry_equiv_pos_as_xyz
'x,y,z'
'-x,-y,-z'
'-x,y,-z'
'x,-y,z'
loop_
_atom_site_label
_atom_site_fract_x
_atom_site_fract_y
_atom_site_fract_z
Sm1 0.000 0.000 0.000
Os1 0.000 0.500 0.000
Pb1 0.500 0.254 0.500
O1 0.174 0.289 0.188
O2 0.263 0.500 0.758
O3 0.318 0.000 0.694

# AcHI (PBE-GGA, optimized geometry)
# - total magnetization (μB/atom) = 0.000
# - energy (eV/atom) = -3.821
# - density of states at the Fermi level (states/eV/atom) = 0.706
# - offset from the most stable computed form (meV/atom) = 202
data_AcHI
_symmetry_space_group_name_H-M 'P 3 m 1'
_symmetry_Int_Tables_number 156
_cell_length_a 4.2260
_cell_length_b 4.2260
_cell_length_c 5.2125
_cell_angle_alpha 90.00
_cell_angle_beta 90.00
_cell_angle_gamma 120.00
loop_
_symmetry_equiv_pos_as_xyz
'x,y,z'
'-y,x-y,z'
'-x+y,-x,z'
'-y,-x,z'
'-x+y,y,z'
'x,x-y,z'
loop_
_atom_site_label
_atom_site_fract_x
_atom_site_fract_y
_atom_site_fract_z
Ac1 0.0000 0.0000 0.0000
H1 0.3333 0.6667 0.9363
I1 0.6667 0.3333 0.4702

# Ho3ErGa2 (PBE-GGA, optimized geometry)
# - total magnetization (μB/atom) = 0.000
# - energy (eV/atom) = -4.379
# - density of states at the Fermi level (states/eV/atom) = 0.851
# - calculated formation energy (eV/f.u.) = -1.9
# - offset from the most stable computed form (meV/atom) = 111
data_Ho3ErGa2
_symmetry_space_group_name_H-M 'C 1 2/m 1'
_symmetry_Int_Tables_number 12
_cell_length_a 15.897
_cell_length_b 5.021
_cell_length_c 8.822
_cell_angle_alpha 90.00
_cell_angle_beta 117.94
_cell_angle_gamma 90.00
loop_
_symmetry_equiv_pos_as_xyz
'x,y,z'
'-x,-y,-z'
'-x,y,-z'
'x,-y,z'
'x+1/2,y+1/2,z'
'-x+1/2,-y+1/2,-z'
'-x+1/2,y+1/2,-z'
'x+1/2,-y+1/2,z'
loop_
_atom_site_label
_atom_site_fract_x
_atom_site_fract_y
_atom_site_fract_z
Ho1 0.061 0.000 0.217
Ho2 0.122 0.500 0.013
Ho3 0.187 0.500 0.494
Er1 0.129 0.000 0.690
Ga1 0.017 0.500 0.652
Ga2 0.228 0.000 0.115

# LiGdDySc (PBE-GGA, optimized geometry)
# - total magnetization (μB/atom) = 1.802
# - energy (eV/atom) = -6.580
# - density of states at the Fermi level (states/eV/atom) = 1.009
# - calculated formation energy (eV/f.u.) = 0.6
data_LiGdDySc
_symmetry_space_group_name_H-M 'F -4 3 m'
_symmetry_Int_Tables_number 216
_symmetry_space_group_name_Hall 'F -4 2 3'
_cell_length_a 7.564
_cell_length_b 7.564
_cell_length_c 7.564
_cell_angle_alpha 90.00
_cell_angle_beta 90.00
_cell_angle_gamma 90.00
loop_
_atom_site_label
_atom_site_fract_x
_atom_site_fract_y
_atom_site_fract_z
Li1 0.000 0.000 0.000
Gd1 0.250 0.250 0.250
Dy1 0.250 0.250 0.750
Sc1 0.000 0.000 0.500

# Ac8CdRu2 (PBE-GGA, optimized geometry)
# - total magnetization (μB/atom) = 0.000
# - energy (eV/atom) = -4.862
# - density of states at the Fermi level (states/eV/atom) = 1.046
# - calculated formation energy (eV/f.u.) = -1.2
# - offset from the most stable computed form (meV/atom) = 0
data_Ac8CdRu2
_symmetry_space_group_name_H-M 'C 1 2/m 1'
_symmetry_Int_Tables_number 12
_cell_length_a 13.620
_cell_length_b 8.961
_cell_length_c 6.980
_cell_angle_alpha 90.00
_cell_angle_beta 92.61
_cell_angle_gamma 90.00
loop_
_symmetry_equiv_pos_as_xyz
'x,y,z'
'-x,-y,-z'
'-x,y,-z'
'x,-y,z'
'x+1/2,y+1/2,z'
'-x+1/2,-y+1/2,-z'
'-x+1/2,y+1/2,-z'
'x+1/2,-y+1/2,z'
loop_
_atom_site_label
_atom_site_fract_x
_atom_site_fract_y
_atom_site_fract_z
Ac1 0.121 0.000 0.190
Ac2 0.130 0.500 0.111
Ac3 0.145 0.220 0.677
Cd1 0.000 0.500 0.500
Ru1 0.217 0.500 0.511

# AcAlZnAg (PBE-GGA, optimized geometry)
# - total magnetization (μB/atom) = 0.000
# - energy (eV/atom) = -3.191
# - density of states at the Fermi level (states/eV/atom) = 0.392
# - calculated formation energy (eV/f.u.) = -0.8
data_AcAlZnAg
_symmetry_space_group_name_H-M 'F -4 3 m'
_symmetry_Int_Tables_number 216
_symmetry_space_group_name_Hall 'F -4 2 3'
_cell_length_a 7.224
_cell_length_b 7.224
_cell_length_c 7.224
_cell_angle_alpha 90.00
_cell_angle_beta 90.00
_cell_angle_gamma 90.00
loop_
_atom_site_label
_atom_site_fract_x
_atom_site_fract_y
_atom_site_fract_z
Ac1 0.000 0.000 0.000
Al1 0.000 0.000 0.500
Zn1 0.250 0.250 0.750
Ag1 0.250 0.250 0.250

# ScPdAu3 (PBE-GGA, optimized geometry)
# - total magnetization (μB/atom) = 0.063
# - energy (eV/atom) = -3.875
# - density of states at the Fermi level (states/eV/atom) = 1.070
# - calculated formation energy (eV/f.u.) = 2.0
# - offset from the most stable computed form (meV/atom) = 916
data_ScPdAu3
_symmetry_space_group_name_H-M 'P m -3 m'
_symmetry_Int_Tables_number 221
_symmetry_space_group_name_Hall '-P 4 2 3'
_cell_length_a 4.989
_cell_length_b 4.989
_cell_length_c 4.989
_cell_angle_alpha 90.00
_cell_angle_beta 90.00
_cell_angle_gamma 90.00
loop_
_atom_site_label
_atom_site_fract_x
_atom_site_fract_y
_atom_site_fract_z
Sc1 0.000 0.000 0.000
Pd1 0.500 0.500 0.500
Au1 0.000 0.500 0.500

# LuUBi2 (PBE-GGA, optimized geometry)
# - total magnetization (μB/atom) = 0.763
# - energy (eV/atom) = -6.043
# - density of states at the Fermi level (states/eV/atom) = 1.465
# - calculated formation energy (eV/f.u.) = -0.6
# - offset from the most stable computed form (meV/atom) = 127
data_LuUBi2
_symmetry_space_group_name_H-M 'P 4/m m m'
_symmetry_Int_Tables_number 123
_symmetry_space_group_name_Hall '-P 4 2'
_cell_length_a 5.354
_cell_length_b 5.354
_cell_length_c 3.911
_cell_angle_alpha 90.00
_cell_angle_beta 90.00
_cell_angle_gamma 90.00
loop_
_atom_site_label
_atom_site_fract_x
_atom_site_fract_y
_atom_site_fract_z
Lu1 0.000 0.000 0.000
U1 0.500 0.500 0.000
Bi1 0.000 0.500 0.500